# Ni2BiBP2O10

Ni2BiBP2O10 after structural relaxation (PBE+U, Alexandria via LeMat-Bulk).

The calculation puts the calculated volume at 11.1 Å³/atom. The total moment comes out at 3.95 μB/f.u. Its total energy is -212.9 eV per cell.

The space group is P2_1/m (No. 11) and the conventional cell measures 5.109, 11.352 and 6.398 Å, with angles of 90.00, 107.05 and 90.00 degrees. Symmetry generates all atoms from Ni at (0.152, 0.106, 0.165), Bi at (0.249, 0.750, 0.559), B at (0.438, 0.750, 0.014), P at (0.293, 0.064, 0.714), O at (0.085, 0.049, 0.846), O at (0.145, 0.125, 0.492), O at (0.151, 0.750, 0.868), O at (0.376, 0.250, 0.125), O at (0.431, 0.552, 0.681) and O at (0.467, 0.645, 0.156).